The following is a DFT calculation (PBE) of HfVIr3 after structural relaxation.

The structure in POSCAR format:
```
HfVIr3
1.0
-0.708 3.000 3.307
-0.263 -3.370 3.001
4.457 0.277 0.702
Ir Hf V
3 1 1
Direct
0.000 0.500 0.000 Ir
0.000 0.000 0.500 Ir
0.500 0.000 0.000 Ir
0.500 0.500 0.500 Hf
0.000 0.000 0.000 V
```

DFT total energy, eV for the cell shown: -42.92
ΔE to the lowest computed polymorph, meV per atom: 0
Formation enthalpy at 0 K, eV/atom: 0.547

The following is a DFT calculation (PBE) of ScNiBr2 after structural relaxation.

The structure in POSCAR format:
```
ScNiBr2
1.0
-3.334 3.705 -5.680
-3.346 0.287 -6.770
-3.658 -0.537 1.724
Br Ni Sc
2 1 1
Direct
0.883 0.883 0.031 Br
0.617 0.617 0.469 Br
0.750 0.750 0.750 Ni
0.250 0.250 0.250 Sc
```

DFT total energy, eV for the cell shown: -18.41
ΔE to the lowest computed polymorph, meV per atom: 36
Uncorrected formation energy, eV/atom: -0.7387

The following is a DFT calculation (PBE) of Mg2Al2Ni after structural relaxation.

The structure in POSCAR format:
```
Mg2Al2Ni
1.0
6.320 0.000 0.000
0.000 6.320 0.000
0.000 0.000 4.456
Ni Mg Al
2 4 4
Direct
0.000 0.000 0.000 Ni
0.500 0.500 0.000 Ni
0.169 0.669 0.500 Mg
0.669 0.831 0.500 Mg
0.831 0.331 0.500 Mg
0.331 0.169 0.500 Mg
0.352 0.852 0.000 Al
0.852 0.648 0.000 Al
0.648 0.148 0.000 Al
0.148 0.352 0.000 Al
```

DFT total energy, eV for the cell shown: -33.60
Formation enthalpy at 0 K, eV/atom: -0.068